A plane-wave DFT calculation with GGA+U was carried out for a relaxed LiFe2P5O16 crystal.

Unit cell a=6.763 b=5.090 c=18.987 alpha=90.26 beta=90.00 gamma=90.00
Site moments in Bohr magnetons follow the coordinates.
Element x y z (fractional)
Li 0.447 0.331 0.484  0.00
Li 0.553 0.331 0.984  0.00
Fe 0.172 0.252 0.906  4.42
Fe 0.179 0.743 0.592  4.42
Fe 0.828 0.252 0.406  4.42
Fe 0.821 0.743 0.092  4.42
P 0.868 0.228 0.576  0.02
P 0.468 0.253 0.633  0.01
P 0.257 0.992 0.749  0.01
P 0.467 0.747 0.868  0.01
P 0.132 0.228 0.076  0.02
P 0.532 0.253 0.133  0.01
P 0.743 0.992 0.249  0.01
P 0.868 0.762 0.921  0.01
P 0.132 0.762 0.421  0.01
P 0.533 0.747 0.368  0.01
O 0.934 0.047 0.930  0.09
O 0.382 0.959 0.914  0.06
O 0.946 0.949 0.569  0.08
O 0.761 0.653 0.987  0.06
O 0.243 0.317 0.009  0.06
O 0.627 0.064 0.081  0.05
O 0.054 0.949 0.069  0.08
O 0.573 0.538 0.117  0.06
O 0.980 0.422 0.104  0.07
O 0.300 0.212 0.138  0.02
O 0.858 0.846 0.194  0.06
O 0.587 0.188 0.213  0.00
O 0.600 0.782 0.287  0.01
O 0.854 0.148 0.304  0.07
O 0.300 0.778 0.359  0.02
O 0.975 0.581 0.391  0.08
O 0.570 0.465 0.390  0.05
O 0.618 0.959 0.414  0.06
O 0.066 0.047 0.430  0.09
O 0.025 0.581 0.891  0.08
O 0.757 0.317 0.509  0.06
O 0.373 0.064 0.581  0.05
O 0.239 0.653 0.487  0.06
O 0.427 0.538 0.617  0.06
O 0.020 0.422 0.604  0.07
O 0.700 0.212 0.638  0.02
O 0.142 0.846 0.694  0.06
O 0.413 0.188 0.713  0.00
O 0.400 0.782 0.787  0.01
O 0.146 0.148 0.804  0.07
O 0.700 0.778 0.859  0.02
O 0.430 0.465 0.890  0.05

SG: Pc
V (Å³ per cell): 653.6
Total DFT energy (no corrections) (eV per atom): -7.06
Fermi-level density of states (states/eV/f.u.): 0.00
Polymorph energy (0 for the lowest one) (eV per atom): 0.000